# SbIr

A relaxed structure of SbIr (PBE, Alexandria via LeMat-Bulk).

Structure (POSCAR):
```
SbIr
1.0
-1.435 4.840 -1.826
-0.058 -1.909 -5.016
-5.172 -1.322 0.562
Sb Ir
4 4
Direct
0.445 0.945 0.555
0.055 0.055 0.055
0.555 0.445 0.945
0.945 0.555 0.445
0.049 0.549 0.951
0.451 0.451 0.451
0.951 0.049 0.549
0.549 0.951 0.049
```

Properties
* magnetization: 0.0 μB per cell
* theoretical density: 13.48 g/cm³
* raw formation energy: 0.045 eV/atom

# BaFe2Co

A relaxed structure of BaFe2Co (PBE, Alexandria via LeMat-Bulk).

Structure (POSCAR):
```
BaFe2Co
1.0
-4.203 1.613 -0.792
-1.488 -1.996 3.833
0.736 2.767 1.727
Ba Co Fe
1 1 2
Direct
0.500 0.000 0.500
0.000 0.500 0.500
0.000 0.000 0.000
0.500 0.500 0.000
```

Properties
* magnetization: 6.2 μB per cell
* theoretical density: 7.32 g/cm³
* formation enthalpy at 0 K: 1.14 eV/atom
* relative energy among the computed polymorphs: 813 meV/atom

# Cu2RuBr

A relaxed structure of Cu2RuBr (PBE, Alexandria via LeMat-Bulk).

Structure (POSCAR):
```
Cu2RuBr
1.0
-0.083 0.077 -4.107
-0.385 -3.793 -0.063
-3.793 0.384 0.084
Br Cu Ru
1 2 1
Direct
0.500 0.000 0.500
0.000 0.000 0.000
0.000 0.500 0.500
0.500 0.500 0.000
```

Properties
* magnetization: 0.8 μB per cell
* theoretical density: 8.56 g/cm³
* raw formation energy: 0.777 eV/atom
* relative energy among the computed polymorphs: 323 meV/atom

# CsZnAg

A relaxed structure of CsZnAg (PBE, Alexandria via LeMat-Bulk).

Structure (POSCAR):
```
CsZnAg
1.0
4.536 -0.148 0.983
2.063 4.042 0.983
0.215 0.127 12.538
Cs Zn Ag
2 2 2
Direct
0.262 0.262 0.700
0.738 0.738 0.300
0.482 0.482 0.101
0.518 0.518 0.899
0.842 0.842 0.961
0.158 0.158 0.039
```

Properties
* magnetization: 0.0 μB per cell
* theoretical density: 4.37 g/cm³
* formation enthalpy at 0 K: 0.08 eV/atom
* relative energy among the computed polymorphs: 69 meV/atom

# Li2BeCl

A relaxed structure of Li2BeCl (PBE, Alexandria via LeMat-Bulk).

Structure (POSCAR):
```
Li2BeCl
1.0
-1.975 -6.227 -1.413
2.742 -6.094 -0.141
-1.005 5.827 3.116
Be Cl Li
1 1 2
Direct
0.500 0.500 0.000
0.750 0.250 0.500
0.000 0.000 0.000
0.250 0.750 0.500
```

Properties
* magnetization: 0.0 μB per cell
* theoretical density: 1.30 g/cm³
* raw formation energy: -0.223 eV/atom
* relative energy among the computed polymorphs: 145 meV/atom

# RbCaSb2Au

A relaxed structure of RbCaSb2Au (PBE, Alexandria via LeMat-Bulk).

Structure (POSCAR):
```
RbCaSb2Au
1.0
-1.548 5.347 -0.476
-2.554 -1.183 -4.984
-4.754 -1.135 2.706
Sb Ca Au Rb
2 1 1 1
Direct
0.000 0.000 0.500
0.500 0.000 0.000
0.500 0.500 0.500
0.000 0.000 0.000
0.000 0.500 0.000
```

Properties
* magnetization: 0.0 μB per cell
* theoretical density: 5.26 g/cm³
* raw formation energy: -0.036 eV/atom

Q: Look up the magnetization of the second one.
A: 6.2 μB per cell

Q: theoretical density of number 1 (SbIr)?
A: 13.48 g/cm³